(1)
LiSbTe2 | SCAN | PBEsol geometry

Calculated values
The formation energy from raw total energies is -0.460 eV/atom. Its uncorrected energy is -28.998 eV per atom. The space-group type is R-3m (166). The density is 5.83 Mg/m³.

Cell lengths 7.3500, 7.3500, 7.3500 Å; angles 33.78, 33.78, 33.78 degrees
Last column: nearest neighbours and their distance in Å.
Fractional coordinates of all 4 atoms:
Li: 0.0000 0.0000 0.0000  6 Te 2.97
Sb: 0.5000 0.5000 0.5000  6 Te 3.05
Te: 0.2534 0.2534 0.2534  3 Li 2.97, 3 Sb 3.05
Te: 0.7466 0.7466 0.7466  3 Li 2.97, 3 Sb 3.05

=====

(2)
Li3CdAs | SCAN | PBEsol geometry

Calculated values
Its uncorrected energy is -11.939 eV per atom. The calculated formation energy comes out at -0.384 eV per atom. The space-group type is Pm-3m (221). The density is 3.06 Mg/m³.

Cell lengths 4.8343, 4.8343, 4.8343 Å; angles 90.00, 90.00, 90.00 degrees
Last column: nearest neighbours and their distance in Å.
Fractional coordinates of all 5 atoms:
Li: 0.0000 0.0000 0.5000  2 As 2.42
Li: 0.0000 0.5000 0.0000  2 As 2.42
Li: 0.5000 0.0000 0.0000  2 As 2.42
Cd: 0.5000 0.5000 0.5000  12 Li 3.42
As: 0.0000 0.0000 0.0000  6 Li 2.42

=====

(3)
MgTa3Ru | SCAN | PBEsol geometry

Calculated values
Its uncorrected energy is -46.940 eV per atom. The calculated formation energy comes out at 0.970 eV per atom. The space-group type is Pm-3m (221). The density is 10.22 Mg/m³.

Cell lengths 4.7713, 4.7713, 4.7713 Å; angles 90.00, 90.00, 90.00 degrees
Last column: nearest neighbours and their distance in Å.
Fractional coordinates of all 5 atoms:
Mg: 0.0000 0.0000 0.0000  12 Ta 3.37
Ta: 0.0000 0.5000 0.5000  2 Ru 2.39
Ta: 0.5000 0.0000 0.5000  2 Ru 2.39
Ta: 0.5000 0.5000 0.0000  2 Ru 2.39
Ru: 0.5000 0.5000 0.5000  6 Ta 2.39

=====

(4)
La2MgTl | SCAN | PBEsol geometry

Calculated values
Its uncorrected energy is -41.222 eV per atom. The calculated formation energy comes out at -0.337 eV per atom. The space-group type is I-4m2 (119). The density is 7.38 Mg/m³. As for the relative energy among the computed polymorphs: 7.24 kJ per mole of atoms.

Cell lengths 6.0789, 6.0789, 6.0789 Å; angles 134.10, 134.10, 66.94 degrees
Last column: nearest neighbours and their distance in Å.
Fractional coordinates of all 4 atoms:
La: 0.0000 0.0000 0.0000  4 Mg 3.35, 4 Tl 3.47, 4 La 3.47
La: 0.7500 0.2500 0.5000  4 Tl 3.35, 4 La 3.47, 4 Mg 3.47
Mg: 0.5000 0.5000 0.0000  8 La 3.35-3.47, 4 Tl 3.47
Tl: 0.2500 0.7500 0.5000  8 La 3.35-3.47, 4 Mg 3.47

=====

(5)
BeInW3 | SCAN | PBEsol geometry

Calculated values
Its uncorrected energy is -48.366 eV per atom. The calculated formation energy comes out at 0.995 eV per atom. The space-group type is Pm-3m (221). The density is 14.40 Mg/m³.

Cell lengths 4.2702, 4.2702, 4.2702 Å; angles 90.00, 90.00, 90.00 degrees
Last column: nearest neighbours and their distance in Å.
Fractional coordinates of all 5 atoms:
Be: 0.0000 0.0000 0.0000  6 W 2.14
In: 0.5000 0.5000 0.5000  12 W 3.02
W: 0.0000 0.0000 0.5000  2 Be 2.14
W: 0.0000 0.5000 0.0000  2 Be 2.14
W: 0.5000 0.0000 0.0000  2 Be 2.14

=====

(6)
CaNi2BiPd | SCAN | PBEsol geometry

Calculated values
Its uncorrected energy is -30.221 eV per atom. The calculated formation energy comes out at 0.452 eV per atom. The space-group type is P4/mmm (123). The density is 7.26 Mg/m³.

Cell lengths 4.6727, 4.6727, 4.9518 Å; angles 90.00, 90.00, 90.00 degrees
Last column: nearest neighbours and their distance in Å.
Fractional coordinates of all 5 atoms:
Ca: 0.0000 0.0000 0.0000  2 Pd 2.48
Ni: 0.0000 0.5000 0.5000  2 Pd 2.34
Ni: 0.5000 0.0000 0.5000  2 Pd 2.34
Bi: 0.5000 0.5000 0.0000  4 Ca 3.30, 8 Ni 3.40
Pd: 0.0000 0.0000 0.5000  4 Ni 2.34, 2 Ca 2.48

=====

(7)
KPRuO2 | SCAN | PBEsol geometry

Calculated values
The formation energy from raw total energies is 1.737 eV/atom. Its uncorrected energy is -11.466 eV per atom. The space-group type is P4/mmm (123). The density is 3.83 Mg/m³.

Cell lengths 3.7828, 3.7828, 6.1568 Å; angles 90.00, 90.00, 90.00 degrees
Last column: nearest neighbours and their distance in Å.
Fractional coordinates of all 5 atoms:
K: 0.0000 0.0000 0.0000  4 O 1.89
P: 0.0000 0.0000 0.5000  4 Ru 2.67
Ru: 0.5000 0.5000 0.5000  4 P 2.67
O: 0.0000 0.5000 0.0000  2 K 1.89
O: 0.5000 0.0000 0.0000  2 K 1.89

=====

(8)
LaMgCdAg2 | SCAN | PBEsol geometry

Calculated values
Its uncorrected energy is -27.794 eV per atom. The calculated formation energy comes out at 0.451 eV per atom. The space-group type is P4/mmm (123). The density is 5.84 Mg/m³.

Cell lengths 4.8996, 4.8996, 5.8204 Å; angles 90.00, 90.00, 90.00 degrees
Last column: nearest neighbours and their distance in Å.
Fractional coordinates of all 5 atoms:
La: 0.0000 0.0000 0.0000  2 Mg 2.91
Mg: 0.0000 0.0000 0.5000  4 Ag 2.45
Cd: 0.5000 0.5000 0.0000  4 La 3.46, 8 Ag 3.80
Ag: 0.0000 0.5000 0.5000  2 Mg 2.45
Ag: 0.5000 0.0000 0.5000  2 Mg 2.45

=====

(9)
HfCr2B2 | SCAN | PBEsol geometry

Calculated values
Its uncorrected energy is -22.966 eV per atom. The calculated formation energy comes out at -0.106 eV per atom. The space-group type is I4/mmm (139). The density is 9.10 Mg/m³.

Cell lengths 4.6416, 4.6416, 4.6416 Å; angles 131.16, 131.16, 71.56 degrees
Last column: nearest neighbours and their distance in Å.
Fractional coordinates of all 5 atoms:
Hf: 0.0000 0.0000 0.0000  2 Cr 2.60, 8 B 2.69
Cr: 0.3452 0.3452 0.0000  4 B 2.05
Cr: 0.6548 0.6548 0.0000  4 B 2.05
B: 0.2500 0.7500 0.5000  4 Cr 2.05
B: 0.7500 0.2500 0.5000  4 Cr 2.05

=====

(10)
Rb2AsAuS | SCAN | PBEsol geometry

Calculated values
The formation energy from raw total energies is -0.173 eV/atom. Its uncorrected energy is -28.264 eV per atom. The space-group type is P4/mmm (123). The density is 4.20 Mg/m³.

Cell lengths 6.4770, 6.4770, 4.4807 Å; angles 90.00, 90.00, 90.00 degrees
Last column: nearest neighbours and their distance in Å.
Fractional coordinates of all 5 atoms:
Rb: 0.0000 0.5000 0.0000  2 Au 3.24
Rb: 0.5000 0.0000 0.0000  2 Au 3.24
As: 0.0000 0.0000 0.5000  8 Rb 3.94
Au: 0.5000 0.5000 0.0000  2 S 2.24
S: 0.5000 0.5000 0.5000  2 Au 2.24

=====

(11)
Li2YAl | SCAN | PBEsol geometry

Calculated values
Its uncorrected energy is -10.060 eV per atom. The calculated formation energy comes out at 0.033 eV per atom. The space-group type is P4/mmm (123). The density is 2.69 Mg/m³.

Cell lengths 3.4547, 3.4547, 6.7009 Å; angles 90.00, 90.00, 90.00 degrees
Last column: nearest neighbours and their distance in Å.
Fractional coordinates of all 4 atoms:
Li: 0.0000 0.0000 0.2038  1 Li 2.73, 4 Al 2.80
Li: 0.0000 0.0000 0.7962  1 Li 2.73, 4 Al 2.80
Y: 0.5000 0.5000 0.5000  8 Li 3.15, 2 Al 3.35, 4 Y 3.45
Al: 0.5000 0.5000 0.0000  8 Li 2.80

=====

(12)
AgPt2Br | SCAN | PBEsol geometry

Calculated values
The formation energy from raw total energies is 0.199 eV/atom. Its uncorrected energy is -47.605 eV per atom. The space-group type is Pm (6). The density is 13.04 Mg/m³.

Cell lengths 3.1939, 3.3773, 6.9873 Å; angles 90.00, 102.47, 90.00 degrees
Last column: nearest neighbours and their distance in Å.
Fractional coordinates of all 4 atoms:
Ag: 0.0000 0.0000 0.0000  5 Pt 2.84-2.85, 4 Br 3.03-3.12
Pt: 0.3852 0.5000 0.7594  4 Pt 2.61, 4 Ag 2.84-2.85
Pt: 0.8024 0.0000 0.5839  2 Br 2.60, 4 Pt 2.61, 1 Ag 2.84
Br: 0.6642 0.5000 0.2950  2 Pt 2.60